Compound: Hf6TaIn3
Source: the Alexandria database
Functional: PBE-GGA
Structure: optimized geometry

Values from the calculation:
Energy relative to the elements in eV per atom: 1.01
Total moment in μB per formula unit: 0.0

Cell and atoms, written as CIF:
```
data_Hf6TaIn3
_chemical_formula_sum 'Hf24 Ta4 In12'
_symmetry_space_group_name_H-M 'F m -3 m'
_symmetry_Int_Tables_number 225
_symmetry_space_group_name_Hall '-F 4 2 3'
_cell_length_a 10.353
_cell_length_b 10.353
_cell_length_c 10.353
_cell_angle_alpha 90.00
_cell_angle_beta 90.00
_cell_angle_gamma 90.00
loop_
_atom_site_label
_atom_site_type_symbol
_atom_site_fract_x
_atom_site_fract_y
_atom_site_fract_z
_atom_site_occupancy
Hf1 Hf 0.000 0.000 0.242 1
Ta1 Ta 0.000 0.000 0.000 1
In1 In 0.000 0.000 0.500 1
In2 In 0.250 0.250 0.250 1
```

---

Compound: HfTa2In
Source: the Alexandria database
Functional: PBE-GGA
Structure: optimized geometry

Values from the calculation:
Energy relative to the elements in eV per atom: 0.05
Total moment in μB per formula unit: 0.0

Cell and atoms, written as CIF:
```
data_HfTa2In
_chemical_formula_sum 'Hf1 Ta2 In1'
_symmetry_space_group_name_H-M 'P 4/m m m'
_symmetry_Int_Tables_number 123
_symmetry_space_group_name_Hall '-P 4 2'
_cell_length_a 4.118
_cell_length_b 4.118
_cell_length_c 4.656
_cell_angle_alpha 90.00
_cell_angle_beta 90.00
_cell_angle_gamma 90.00
loop_
_atom_site_label
_atom_site_type_symbol
_atom_site_fract_x
_atom_site_fract_y
_atom_site_fract_z
_atom_site_occupancy
Hf1 Hf 0.000 0.000 0.000 1
Ta1 Ta 0.000 0.500 0.500 1
In1 In 0.500 0.500 0.000 1
```

---

Compound: Hf4TaIn
Source: the Alexandria database
Functional: PBE-GGA
Structure: optimized geometry

Values from the calculation:
Energy relative to the elements in eV per atom: 0.49
Total moment in μB per formula unit: 0.0

Cell and atoms, written as CIF:
```
data_Hf4TaIn
_chemical_formula_sum 'Hf4 Ta1 In1'
_symmetry_space_group_name_H-M 'P 4/m m m'
_symmetry_Int_Tables_number 123
_symmetry_space_group_name_Hall '-P 4 2'
_cell_length_a 4.678
_cell_length_b 4.678
_cell_length_c 6.881
_cell_angle_alpha 90.00
_cell_angle_beta 90.00
_cell_angle_gamma 90.00
loop_
_atom_site_label
_atom_site_type_symbol
_atom_site_fract_x
_atom_site_fract_y
_atom_site_fract_z
_atom_site_occupancy
Hf1 Hf 0.000 0.500 0.227 1
Ta1 Ta 0.000 0.000 0.000 1
In1 In 0.500 0.500 0.500 1
```

---

Compound: HfTaIn
Source: the Alexandria database
Functional: PBE-GGA
Structure: optimized geometry

Values from the calculation:
Energy relative to the elements in eV per atom: 0.22
E above lowest polymorph in meV/atom: 162
Total moment in μB per formula unit: 0.3

Cell and atoms, written as CIF:
```
data_HfTaIn
_chemical_formula_sum 'Hf1 Ta1 In1'
_symmetry_space_group_name_H-M 'P 3 m 1'
_symmetry_Int_Tables_number 156
_cell_length_a 4.9768
_cell_length_b 4.9768
_cell_length_c 2.8868
_cell_angle_alpha 90.00
_cell_angle_beta 90.00
_cell_angle_gamma 120.00
loop_
_symmetry_equiv_pos_as_xyz
'x,y,z'
'-y,x-y,z'
'-x+y,-x,z'
'-y,-x,z'
'-x+y,y,z'
'x,x-y,z'
loop_
_atom_site_label
_atom_site_type_symbol
_atom_site_fract_x
_atom_site_fract_y
_atom_site_fract_z
_atom_site_occupancy
Hf1 Hf 0.0000 0.0000 0.0000 1
Ta1 Ta 0.6667 0.3333 0.6188 1
In1 In 0.3333 0.6667 0.3679 1
```

---

Compound: Hf2TaIn2
Source: the Alexandria database
Functional: PBE-GGA
Structure: optimized geometry

Values from the calculation:
Energy relative to the elements in eV per atom: -0.03
E above lowest polymorph in meV/atom: 0
Total moment in μB per formula unit: 0.0

Cell and atoms, written as CIF:
```
data_Hf2TaIn2
_chemical_formula_sum 'Hf2 Ta1 In2'
_symmetry_space_group_name_H-M 'P -1'
_symmetry_Int_Tables_number 2
_cell_length_a 3.082
_cell_length_b 5.025
_cell_length_c 7.444
_cell_angle_alpha 70.33
_cell_angle_beta 79.64
_cell_angle_gamma 89.99
loop_
_symmetry_equiv_pos_as_xyz
'x,y,z'
'-x,-y,-z'
loop_
_atom_site_label
_atom_site_type_symbol
_atom_site_fract_x
_atom_site_fract_y
_atom_site_fract_z
_atom_site_occupancy
Hf1 Hf 0.176 0.405 0.190 1
Ta1 Ta 0.000 0.000 0.000 1
In1 In 0.491 0.807 0.387 1
```

---

Compound: HfTaIn2
Source: the Alexandria database
Functional: PBE-GGA
Structure: optimized geometry

Values from the calculation:
Energy relative to the elements in eV per atom: 0.29
E above lowest polymorph in meV/atom: 0
Total moment in μB per formula unit: 0.0

Cell and atoms, written as CIF:
```
data_HfTaIn2
_chemical_formula_sum 'Hf4 Ta4 In8'
_symmetry_space_group_name_H-M 'F m -3 m'
_symmetry_Int_Tables_number 225
_symmetry_space_group_name_Hall '-F 4 2 3'
_cell_length_a 6.915
_cell_length_b 6.915
_cell_length_c 6.915
_cell_angle_alpha 90.00
_cell_angle_beta 90.00
_cell_angle_gamma 90.00
loop_
_atom_site_label
_atom_site_type_symbol
_atom_site_fract_x
_atom_site_fract_y
_atom_site_fract_z
_atom_site_occupancy
Hf1 Hf 0.000 0.000 0.000 1
Ta1 Ta 0.000 0.000 0.500 1
In1 In 0.250 0.250 0.250 1
```

---

Compound: HfTaIn
Source: the Alexandria database
Functional: PBE-GGA
Structure: optimized geometry

Values from the calculation:
Energy relative to the elements in eV per atom: 0.59
E above lowest polymorph in meV/atom: 537
Total moment in μB per formula unit: 0.0

Cell and atoms, written as CIF:
```
data_HfTaIn
_chemical_formula_sum 'Hf3 Ta3 In3'
_symmetry_space_group_name_H-M 'P -6 2 m'
_symmetry_Int_Tables_number 189
_symmetry_space_group_name_Hall 'P -6 -2'
_cell_length_a 6.9585
_cell_length_b 6.9585
_cell_length_c 5.0197
_cell_angle_alpha 90.00
_cell_angle_beta 90.00
_cell_angle_gamma 120.00
loop_
_atom_site_label
_atom_site_type_symbol
_atom_site_fract_x
_atom_site_fract_y
_atom_site_fract_z
_atom_site_occupancy
Hf1 Hf 0.0000 0.0000 0.0000 1
Hf2 Hf 0.3333 0.6667 0.5000 1
Ta1 Ta 0.0000 0.2172 0.5000 1
In1 In 0.0000 0.4769 0.0000 1
```

---

Compound: Hf6TaIn5
Source: the Alexandria database
Functional: PBE-GGA
Structure: optimized geometry

Values from the calculation:
Energy relative to the elements in eV per atom: -0.12
Total moment in μB per formula unit: 0.0

Cell and atoms, written as CIF:
```
data_Hf6TaIn5
_chemical_formula_sum 'Hf12 Ta2 In10'
_symmetry_space_group_name_H-M 'C m m m'
_symmetry_Int_Tables_number 65
_symmetry_space_group_name_Hall '-C 2 2'
_cell_length_a 4.383
_cell_length_b 13.577
_cell_length_c 8.655
_cell_angle_alpha 90.00
_cell_angle_beta 90.00
_cell_angle_gamma 90.00
loop_
_atom_site_label
_atom_site_type_symbol
_atom_site_fract_x
_atom_site_fract_y
_atom_site_fract_z
_atom_site_occupancy
Hf1 Hf 0.000 0.000 0.236 1
Hf2 Hf 0.000 0.336 0.241 1
Ta1 Ta 0.000 0.500 0.000 1
In1 In 0.000 0.163 0.000 1
In2 In 0.000 0.167 0.500 1
In3 In 0.000 0.500 0.500 1
```

---

Compound: Hf2TaIn2
Source: the Alexandria database
Functional: PBE-GGA
Structure: optimized geometry

Values from the calculation:
Energy relative to the elements in eV per atom: 0.13
E above lowest polymorph in meV/atom: 156
Total moment in μB per formula unit: 0.0

Cell and atoms, written as CIF:
```
data_Hf2TaIn2
_chemical_formula_sum 'Hf4 Ta2 In4'
_symmetry_space_group_name_H-M 'P 4/m b m'
_symmetry_Int_Tables_number 127
_symmetry_space_group_name_Hall '-P 4 2ab'
_cell_length_a 7.491
_cell_length_b 7.491
_cell_length_c 3.822
_cell_angle_alpha 90.00
_cell_angle_beta 90.00
_cell_angle_gamma 90.00
loop_
_atom_site_label
_atom_site_type_symbol
_atom_site_fract_x
_atom_site_fract_y
_atom_site_fract_z
_atom_site_occupancy
Hf1 Hf 0.174 0.326 0.000 1
Ta1 Ta 0.000 0.000 0.500 1
In1 In 0.131 0.631 0.500 1
```

---

Compound: HfTa3In
Source: the Alexandria database
Functional: PBE-GGA
Structure: optimized geometry

Values from the calculation:
Energy relative to the elements in eV per atom: 1.74
E above lowest polymorph in meV/atom: 0
Total moment in μB per formula unit: 0.0

Cell and atoms, written as CIF:
```
data_HfTa3In
_chemical_formula_sum 'Hf1 Ta3 In1'
_symmetry_space_group_name_H-M 'P m -3 m'
_symmetry_Int_Tables_number 221
_symmetry_space_group_name_Hall '-P 4 2 3'
_cell_length_a 4.930
_cell_length_b 4.930
_cell_length_c 4.930
_cell_angle_alpha 90.00
_cell_angle_beta 90.00
_cell_angle_gamma 90.00
loop_
_atom_site_label
_atom_site_type_symbol
_atom_site_fract_x
_atom_site_fract_y
_atom_site_fract_z
_atom_site_occupancy
Hf1 Hf 0.000 0.000 0.000 1
Ta1 Ta 0.000 0.000 0.500 1
In1 In 0.500 0.500 0.500 1
```

---

Compound: Hf4TaIn3
Source: the Alexandria database
Functional: PBE-GGA
Structure: optimized geometry

Values from the calculation:
Energy relative to the elements in eV per atom: -0.11
Total moment in μB per formula unit: 0.0

Cell and atoms, written as CIF:
```
data_Hf4TaIn3
_chemical_formula_sum 'Hf8 Ta2 In6'
_symmetry_space_group_name_H-M 'I 4/m m m'
_symmetry_Int_Tables_number 139
_symmetry_space_group_name_Hall '-I 4 2'
_cell_length_a 4.379
_cell_length_b 4.379
_cell_length_c 17.756
_cell_angle_alpha 90.00
_cell_angle_beta 90.00
_cell_angle_gamma 90.00
loop_
_atom_site_label
_atom_site_type_symbol
_atom_site_fract_x
_atom_site_fract_y
_atom_site_fract_z
_atom_site_occupancy
Hf1 Hf 0.000 0.500 0.120 1
Ta1 Ta 0.000 0.000 0.000 1
In1 In 0.000 0.000 0.250 1
In2 In 0.000 0.000 0.500 1
```

---

Compound: HfTaIn2
Source: the Alexandria database
Functional: PBE-GGA
Structure: optimized geometry

Values from the calculation:
Energy relative to the elements in eV per atom: 0.46
E above lowest polymorph in meV/atom: 171
Total moment in μB per formula unit: 0.0

Cell and atoms, written as CIF:
```
data_HfTaIn2
_chemical_formula_sum 'Hf4 Ta4 In8'
_symmetry_space_group_name_H-M 'I -4 2 d'
_symmetry_Int_Tables_number 122
_symmetry_space_group_name_Hall 'I -4 2bw'
_cell_length_a 7.803
_cell_length_b 7.803
_cell_length_c 5.926
_cell_angle_alpha 90.00
_cell_angle_beta 90.00
_cell_angle_gamma 90.00
loop_
_atom_site_label
_atom_site_type_symbol
_atom_site_fract_x
_atom_site_fract_y
_atom_site_fract_z
_atom_site_occupancy
Hf1 Hf 0.000 0.000 0.000 1
Ta1 Ta 0.000 0.000 0.500 1
In1 In 0.242 0.250 0.625 1
```

---

no.,uncorrected energy (eV per cell)
1,-278.92
2,-36.19
3,-51.48
4,-23.89
5,-37.38
6,-104.55
7,-68.29
8,-173.41
9,-73.19
10,-39.56
11,-121.48
12,-101.82